[1]
First-principles (PBE) data for LiNdNi4 after structural relaxation, as listed in the Open Quantum Materials Database.

Calculated values
Space group ... F-43m (216)
Electronic total energy ... -5.0983 eV/atom

Unit cell a=4.930 b=4.930 c=4.930 alpha=60.00 beta=60.00 gamma=60.00
Element x y z (fractional)
Ni 0.373 0.880 0.373
Ni 0.373 0.373 0.373
Ni 0.880 0.373 0.373
Ni 0.373 0.373 0.880
Li 0.000 0.000 0.000
Nd 0.750 0.750 0.750

---

[2]
First-principles (PBE) data for LiNdNi after structural relaxation, as listed in the Open Quantum Materials Database.

Calculated values
Excess energy over the best structure of this formula in the dataset ... 0.0 meV/atom
Space group ... F-43m (216)

Unit cell a=4.546 b=4.546 c=4.546 alpha=60.00 beta=60.00 gamma=60.00
Element x y z (fractional)
Ni 0.000 0.000 0.000
Nd 0.750 0.750 0.750
Li 0.250 0.250 0.250

---

[3]
First-principles (PBE) data for LiNdNiS3 after structural relaxation, as listed in the Open Quantum Materials Database.

Calculated values
Space group ... Cmcm (63)
Electronic total energy ... -5.2469 eV/atom

Unit cell a=3.854 b=6.160 c=10.807 alpha=90.00 beta=90.00 gamma=71.77
Last column: magnetic moment on the atom in μB.
Element x y z (fractional)
Li 0.227 0.545 0.250  0.00
Li 0.773 0.455 0.750  0.00
Ni 0.515 0.969 0.250  0.81
Ni 0.485 0.031 0.750  0.81
S 0.084 0.833 0.750  0.13
S 0.351 0.297 0.598  0.10
S 0.351 0.297 0.902  0.10
S 0.916 0.167 0.250  0.13
S 0.649 0.703 0.402  0.10
S 0.649 0.703 0.098  0.10
Nd 0.000 0.000 0.000  0.02
Nd 0.000 0.000 0.500  0.02

---

[4]
First-principles (PBE) data for LiNdNiSn after structural relaxation, as listed in the Open Quantum Materials Database.

Calculated values
Space group ... F-43m (216)
Electronic total energy ... -4.6115 eV/atom

Unit cell a=4.731 b=4.731 c=4.731 alpha=60.00 beta=60.00 gamma=60.00
Element x y z (fractional)
Li 0.000 0.000 0.000
Nd 0.750 0.750 0.750
Ni 0.500 0.500 0.500
Sn 0.250 0.250 0.250